Record 1
Cr3BrN | Alexandria | PBE | relaxed; E above lowest polymorph = 0.0 meV/atom; electronic total energy = -7.338 eV per atom; calculated volume = 61 Å³/cell
1.0
-3.881 0.129 0.656
-0.669 -0.753 -3.807
0.001 -3.863 0.763
Cr N Br
3 1 1
Direct
0.500 0.000 0.000
0.000 0.500 0.000
0.000 0.000 0.500
0.000 0.000 0.000
0.500 0.500 0.500

---

Record 2
CaCoHg | Alexandria | PBE | relaxed; electronic total energy = -3.000 eV per atom; calculated volume = 63 Å³/cell; formation energy = 0.41 eV per formula unit
1.0
5.692 -0.172 0.000
3.663 4.360 0.000
-4.677 -2.094 2.483
Co Hg Ca
1 1 1
Direct
0.306 0.306 0.000
0.699 0.699 0.000
0.995 0.995 0.000

---

Record 3
MnTlP | Alexandria | PBE | relaxed; E above lowest polymorph = 57.0 meV/atom; electronic total energy = -5.519 eV per atom; calculated volume = 67 Å³/cell; formation energy = 0.39 eV per formula unit
1.0
-2.648 2.305 1.965
0.694 0.623 -3.913
-3.489 -3.064 -1.107
Mn Tl P
1 1 1
Direct
0.000 0.000 0.000
0.333 0.667 0.500
0.667 0.333 0.000

---

Record 4
NaMgHI2 | Alexandria | PBE | relaxed; electronic total energy = -2.606 eV per atom; calculated volume = 136 Å³/cell
1.0
-3.312 -4.531 1.827
4.814 -2.651 2.154
-0.551 1.784 3.427
I Mg H Na
2 1 1 1
Direct
0.000 0.500 0.000
0.500 0.000 0.000
0.000 0.000 0.000
0.000 0.000 0.500
0.500 0.500 0.500

---

Record 5
RbTaPdO4 | Alexandria | PBE | relaxed; electronic total energy = -7.150 eV per atom; calculated volume = 220 Å³/cell
1.0
6.010 0.000 0.000
-3.005 6.679 0.465
0.000 -3.193 5.251
Ta O Rb Pd
2 8 2 2
Direct
0.500 0.000 0.500
0.500 0.000 0.000
0.327 0.653 0.779
0.327 0.653 0.374
0.300 0.021 0.760
0.673 0.347 0.626
0.279 0.979 0.240
0.700 0.979 0.240
0.673 0.347 0.221
0.721 0.021 0.760
0.167 0.335 0.917
0.833 0.665 0.083
0.000 0.500 0.500
0.500 0.500 0.500

---

Record 6
Na2BeAsO6 | Alexandria | PBE | relaxed; electronic total energy = -5.164 eV per atom; calculated volume = 117 Å³/cell
1.0
-0.098 -1.025 -4.774
1.662 -4.881 1.014
-5.147 1.051 -0.120
O As Be Na
6 1 1 2
Direct
0.752 0.151 0.849
0.248 0.302 0.151
0.752 0.698 0.849
0.248 0.849 0.698
0.248 0.849 0.151
0.752 0.151 0.302
0.500 0.000 0.000
0.000 0.000 0.000
0.153 0.333 0.667
0.847 0.667 0.333